A plane-wave DFT calculation with SCAN was carried out for SmCu2Si2 at its PBEsol-relaxed geometry.

Structure (POSCAR):
```
SmCu2Si2
1.0
3.991 0.000 0.000
0.000 3.991 0.000
-1.995 -1.995 4.911
Si Sm Cu
2 1 2
Direct
0.379 0.379 0.759
0.621 0.621 0.241
0.000 0.000 0.000
0.750 0.250 0.500
0.250 0.750 0.500
```

Summary:
Fermi-level density of states, states/eV/f.u.: 1.182
Calculated volume, A^3/atom: 15.6
Raw formation energy, meV/atom: -640
Final energy, eV for the cell shown: -98.07
Total moment, μB per formula unit: 0.00

=====

A plane-wave DFT calculation with SCAN was carried out for CuSiSnTe2 at its PBEsol-relaxed geometry.

Structure (POSCAR):
```
CuSiSnTe2
1.0
-0.616 -3.902 -2.478
0.345 -3.073 4.752
-5.609 0.444 0.695
Si Te Sn Cu
1 2 1 1
Direct
0.500 0.500 0.500
0.000 0.000 0.500
0.000 0.500 0.000
0.000 0.000 0.000
0.500 0.000 0.000
```

Summary:
Fermi-level density of states, states/eV/f.u.: 2.876
Calculated volume, A^3/atom: 30.0
Raw formation energy, meV/atom: 970
Final energy, eV for the cell shown: -130.79
Total moment, μB per formula unit: 0.00

=====

A plane-wave DFT calculation with SCAN was carried out for SrCu2Si at its PBEsol-relaxed geometry.

Structure (POSCAR):
```
SrCu2Si
1.0
4.101 0.000 0.000
2.050 3.551 0.000
2.050 1.184 5.238
Sr Si Cu
1 1 2
Direct
0.000 0.000 0.000
0.500 0.500 0.500
0.191 0.191 0.428
0.809 0.809 0.572
```

Summary:
Fermi-level density of states, states/eV/f.u.: 0.991
Calculated volume, A^3/atom: 19.1
Raw formation energy, meV/atom: -314
Final energy, eV for the cell shown: -63.94
Total moment, μB per formula unit: 0.00

=====

A plane-wave DFT calculation with SCAN was carried out for SrCu2Si at its PBEsol-relaxed geometry.

Structure (POSCAR):
```
SrCu2Si
1.0
-0.156 2.818 -3.676
-3.969 2.104 -1.140
-0.455 4.572 0.603
Cu Si Sr
2 1 1
Direct
0.000 0.000 0.000
0.750 0.750 0.750
0.500 0.500 0.500
0.250 0.250 0.250
```

Summary:
Fermi-level density of states, states/eV/f.u.: 1.629
Calculated volume, A^3/atom: 17.6
Raw formation energy, meV/atom: 332
Final energy, eV for the cell shown: -61.36
Total moment, μB per formula unit: 0.00

=====

- Which of these has the lowest raw formation energy?
  SmCu2Si2